P) DFT (PBE-GGA) results for an optimized crystal structure of ScCuSe.

Properties
V = 138 Å³ per cell
SG = R-3m (166)

Lattice parameters (Å, degrees): 4.1093 4.1093 9.7191 77.80 77.80 60.00
Fractional coordinates of all 6 atoms:
Sc1 0.5621 0.5621 0.3137
Sc2 0.4379 0.4379 0.6863
Se1 0.2703 0.2703 0.1891
Se2 0.7297 0.7297 0.8109
Cu1 0.8262 0.8262 0.5216
Cu2 0.1738 0.1738 0.4784

Q) DFT (PBE-GGA) results for an optimized crystal structure of ScCuSe.

Properties
V = 59 Å³ per cell
SG = F-43m (216)

Lattice parameters (Å, degrees): 4.3786 4.3786 4.3786 60.00 60.00 60.00
Fractional coordinates of all 3 atoms:
Cu1 0.0000 0.0000 0.0000
Sc1 0.5000 0.5000 0.5000
Se1 0.7500 0.7500 0.7500

R) DFT (PBE-GGA) results for an optimized crystal structure of ScCuSe.

Properties
V = 63 Å³ per cell
SG = F-43m (216)

Lattice parameters (Å, degrees): 4.4774 4.4774 4.4774 60.00 60.00 60.00
Fractional coordinates of all 3 atoms:
Cu1 0.5000 0.5000 0.5000
Sc1 0.7500 0.7500 0.7500
Se1 0.0000 0.0000 0.0000

S) DFT (PBE-GGA) results for an optimized crystal structure of ScCuSe.

Properties
V = 53 Å³ per cell
SG = I4mm (107)

Lattice parameters (Å, degrees): 5.1099 5.1096 3.4488 70.28 70.27 39.45
Fractional coordinates of all 3 atoms:
Cu1 0.9983 0.9983 0.0017
Sc1 0.6679 0.6679 0.3321
Se1 0.3338 0.3338 0.6662

Most stable: P). Least stable: Q).

P) DFT (PBE-GGA) results for an optimized crystal structure of SmScCu2.

Properties
V = 82 Å³ per cell
SG = R-3m (166)

Lattice parameters (Å, degrees): 4.6308 4.6308 5.1464 63.26 63.26 60.00
Fractional coordinates of all 4 atoms:
Sc1 0.5000 0.5000 0.5000
Cu1 0.7826 0.7826 0.6521
Cu2 0.2174 0.2174 0.3479
Sm1 0.0000 0.0000 0.0000

Q) DFT (PBE-GGA) results for an optimized crystal structure of SmScCu2.

Properties
V = 78 Å³ per cell
SG = P4/mmm (123)

Lattice parameters (Å, degrees): 3.3647 3.3647 6.9330 90.00 90.00 90.00
Fractional coordinates of all 4 atoms:
Sc1 0.5000 0.5000 0.0000
Cu1 0.0000 0.0000 0.7896
Cu2 0.0000 0.0000 0.2104
Sm1 0.5000 0.5000 0.5000

Most stable: Q). Least stable: P).

P) DFT (PBE-GGA) results for an optimized crystal structure of SmScCu.

Properties
V = 141 Å³ per cell
SG = P4/nmm (129)

Lattice parameters (Å, degrees): 4.5491 4.5517 6.7859 90.00 90.00 90.00
Fractional coordinates of all 6 atoms:
Sm1 0.9807 0.9931 0.4983
Sm2 0.4807 0.4932 0.2591
Sc1 0.4805 0.9929 0.8787
Sc2 0.9806 0.4929 0.8787
Cu1 0.9804 0.9926 0.0938
Cu2 0.4803 0.4926 0.6642

Q) DFT (PBE-GGA) results for an optimized crystal structure of SmScCu.

Properties
V = 71 Å³ per cell
SG = P-6m2 (187)

Lattice parameters (Å, degrees): 3.8596 4.6104 4.6104 120.00 90.00 90.00
Fractional coordinates of all 3 atoms:
Sc1 0.1669 0.3333 0.6667
Cu1 0.1663 0.0000 0.0000
Sm1 0.6668 0.6667 0.3333

R) DFT (PBE-GGA) results for an optimized crystal structure of SmScCu.

Properties
V = 69 Å³ per cell
SG = I4mm (107)

Lattice parameters (Å, degrees): 3.3925 3.3925 6.4595 105.22 105.22 90.00
Fractional coordinates of all 3 atoms:
Sc1 0.2981 0.2981 0.5963
Sm1 0.0167 0.0167 0.0334
Cu1 0.6852 0.6852 0.3703

Most stable: P). Least stable: Q).

P) DFT (PBE-GGA) results for an optimized crystal structure of Sc2CuSn2.

Properties
V = 227 Å³ per cell
SG = P4/mbm (127)

Lattice parameters (Å, degrees): 7.1224 7.1224 4.4690 90.00 90.00 90.00
Fractional coordinates of all 10 atoms:
Sc1 0.3401 0.8401 0.0000
Sc2 0.8401 0.6599 0.0000
Sc3 0.6599 0.1599 0.0000
Sc4 0.1599 0.3401 0.0000
Sn1 0.1509 0.6509 0.5000
Sn2 0.6509 0.8491 0.5000
Sn3 0.8491 0.3491 0.5000
Sn4 0.3491 0.1509 0.5000
Cu1 0.0000 0.0000 0.0000
Cu2 0.5000 0.5000 0.0000

Q) DFT (PBE-GGA) results for an optimized crystal structure of Sc2CuSn2.

Properties
V = 216 Å³ per cell
SG = P4/mbm (127)

Lattice parameters (Å, degrees): 6.9885 6.9885 4.4273 90.00 90.00 90.00
Fractional coordinates of all 10 atoms:
Sc1 0.1647 0.6647 0.5000
Sc2 0.6647 0.8353 0.5000
Sc3 0.8353 0.3353 0.5000
Sc4 0.3353 0.1647 0.5000
Sn1 0.3539 0.8539 0.0000
Sn2 0.8539 0.6461 0.0000
Sn3 0.6461 0.1461 0.0000
Sn4 0.1461 0.3539 0.0000
Cu1 0.0000 0.0000 0.0000
Cu2 0.5000 0.5000 0.0000

Most stable: Q). Least stable: P).

P) DFT (PBE-GGA) results for an optimized crystal structure of Sr3ScCu.

Properties
V = 207 Å³ per cell
SG = Pm-3m (221)

Lattice parameters (Å, degrees): 5.9112 5.9112 5.9112 90.00 90.00 90.00
Fractional coordinates of all 5 atoms:
Sc1 0.5000 0.5000 0.5000
Sr1 0.0000 0.5000 0.0000
Sr2 0.0000 0.0000 0.5000
Sr3 0.5000 0.0000 0.0000
Cu1 0.0000 0.0000 0.0000

Q) DFT (PBE-GGA) results for an optimized crystal structure of Sr3ScCu.

Properties
V = 252 Å³ per cell
SG = Pm-3m (221)

Lattice parameters (Å, degrees): 6.3187 6.3187 6.3187 90.00 90.00 90.00
Fractional coordinates of all 5 atoms:
Sc1 0.0000 0.0000 0.0000
Sr1 0.0000 0.5000 0.0000
Sr2 0.0000 0.0000 0.5000
Sr3 0.5000 0.0000 0.0000
Cu1 0.5000 0.5000 0.5000

Most stable: P). Least stable: Q).

P) DFT (PBE-GGA) results for an optimized crystal structure of SrScCu2.

Properties
V = 89 Å³ per cell
SG = P4mm (99)

Lattice parameters (Å, degrees): 3.4166 3.4166 7.6164 90.00 90.00 90.00
Fractional coordinates of all 4 atoms:
Cu1 0.0000 0.0000 0.0720
Cu2 0.5000 0.5000 0.2182
Sc1 0.0000 0.0000 0.4095
Sr1 0.5000 0.5000 0.8002

Q) DFT (PBE-GGA) results for an optimized crystal structure of SrScCu2.

Properties
V = 101 Å³ per cell
SG = Cm (8)

Lattice parameters (Å, degrees): 4.2264 4.2264 6.9849 72.26 72.26 59.95
Fractional coordinates of all 4 atoms:
Cu1 0.0540 0.0540 0.8384
Cu2 0.7205 0.7205 0.8390
Sc1 0.4530 0.4530 0.6426
Sr1 0.2725 0.2725 0.1800

R) DFT (PBE-GGA) results for an optimized crystal structure of SrScCu2.

Properties
V = 96 Å³ per cell
SG = Imm2 (44)

Lattice parameters (Å, degrees): 6.9314 6.9314 6.9314 149.24 145.56 46.84
Fractional coordinates of all 4 atoms:
Cu1 0.9803 0.9803 0.0000
Cu2 0.8390 0.3390 0.5000
Sc1 0.4713 0.4713 0.0000
Sr1 0.2095 0.7095 0.5000

S) DFT (PBE-GGA) results for an optimized crystal structure of SrScCu2.

Properties
V = 201 Å³ per cell
SG = I-42d (122)

Lattice parameters (Å, degrees): 7.5608 7.5608 6.4028 53.81 53.81 90.00
Fractional coordinates of all 8 atoms:
Sc1 0.5000 0.5000 0.0000
Sc2 0.2500 0.7500 0.5000
Sr1 0.0000 0.0000 0.0000
Sr2 0.7500 0.2500 0.5000
Cu1 0.5782 0.1250 0.2500
Cu2 0.1718 0.6250 0.2500
Cu3 0.3750 0.4218 0.7500
Cu4 0.8750 0.8282 0.7500

Most stable: Q). Least stable: S).

P) DFT (PBE-GGA) results for an optimized crystal structure of SrScCu2.

Properties
V = 86 Å³ per cell
SG = P4/mmm (123)

Lattice parameters (Å, degrees): 3.4736 3.4833 7.9363 63.97 90.00 90.00
Fractional coordinates of all 4 atoms:
Cu1 0.0000 0.9358 0.0643
Cu2 0.0000 0.5642 0.4357
Sc1 0.5000 0.2500 0.2500
Sr1 0.5000 0.7500 0.7500

Q) DFT (PBE-GGA) results for an optimized crystal structure of SrScCu2.

Properties
V = 86 Å³ per cell
SG = Fm-3m (225)

Lattice parameters (Å, degrees): 4.9615 4.9615 4.9615 60.00 60.00 60.00
Fractional coordinates of all 4 atoms:
Sc1 0.0000 0.0000 0.0000
Sr1 0.5000 0.5000 0.5000
Cu1 0.2500 0.2500 0.2500
Cu2 0.7500 0.7500 0.7500

Most stable: P). Least stable: Q).

P) DFT (PBE-GGA) results for an optimized crystal structure of SrSc2Cu.

Properties
V = 104 Å³ per cell
SG = P4mm (99)

Lattice parameters (Å, degrees): 3.5104 3.5116 9.1546 67.44 90.00 90.00
Fractional coordinates of all 4 atoms:
Cu1 0.5000 0.6905 0.8096
Sc1 0.0000 0.0473 0.9527
Sc2 0.5000 0.3063 0.1936
Sr1 0.0000 0.4560 0.5441

Q) DFT (PBE-GGA) results for an optimized crystal structure of SrSc2Cu.

Properties
V = 101 Å³ per cell
SG = Pmmm (47)

Lattice parameters (Å, degrees): 3.7803 5.0629 7.3043 46.16 90.00 90.00
Fractional coordinates of all 4 atoms:
Cu1 0.0000 0.0000 0.5000
Sc1 0.0000 0.0000 0.0000
Sc2 0.5000 0.5000 0.0000
Sr1 0.5000 0.5000 0.5000

Most stable: P). Least stable: Q).